Computed, not measured: a geometry-optimized PrP2Cl structure at the GGA-PBE level of DFT.

Values from the calculation:
SG: No. 63
E, eV/atom: -5.094

a b c (Å): 5.196 5.196 7.753
angles (deg): 90.00 90.00 119.24
Fractional positions:
Pr (0.173, 0.827, 0.750)
Pr (0.827, 0.173, 0.250)
P (0.164, 0.836, 0.120)
P (0.164, 0.836, 0.380)
P (0.836, 0.164, 0.620)
P (0.836, 0.164, 0.880)
Cl (0.500, 0.500, 0.000)
Cl (0.500, 0.500, 0.500)